Nd2HgH | GGA-PBE | relaxed

Results
The density of states at the Fermi level is 3.933 states/eV per cell. For the offset from the most stable computed form, the calculation gives 291 meV/atom.

Lattice parameters (Å, degrees): 3.4345 3.4345 7.6836 90.00 90.00 90.00
With the nearest neighbours (Å) after each atom.
Fractional coordinates of all 4 atoms:
H 0.5000 0.5000 0.0000  8 Nd 2.94
Nd 0.0000 0.0000 0.7846  4 H 2.94, 4 Hg 3.27
Nd 0.0000 0.0000 0.2154  4 H 2.94, 4 Hg 3.27
Hg 0.5000 0.5000 0.5000  8 Nd 3.27, 4 Hg 3.43